# K3TlCr2F9 GGA+U relaxed
data_K3TlCr2F9
_space_group_name_H-M_alt 'P -3 m 1'
_space_group_IT_number 164
_space_group_name_Hall '-P 3 2"'
_cell_length_a 5.9607
_cell_length_b 5.9607
_cell_length_c 8.5533
_cell_angle_alpha 90.00
_cell_angle_beta 90.00
_cell_angle_gamma 120.00
loop_
_atom_site_label
_atom_site_fract_x
_atom_site_fract_y
_atom_site_fract_z
K1 0.0000 0.0000 0.0000
K2 0.3333 0.6667 0.7265
Tl1 0.0000 0.0000 0.5000
Cr1 0.3333 0.6667 0.1406
F1 0.0000 0.5000 0.0000
F2 0.1739 0.3479 0.2677
# * ρ: 3.8 g/cm3
# * E_tot: -5.09 eV/atom